13
Lattice="5.321 0.000 0.000 2.661 4.608 0.000 2.661 1.536 9.161" Properties=species:S:1:pos:R:3 comment="PBE-GGA Li3Sn2Pd8, relaxed" total_energy_ev_per_fu=-58.56 spacegroup="R-3m, No. 166" vol_a3_per_atom=17.28 total_magnetization_mub_per_cell=0.000 pbc="T T T"
Pd 6.658 3.844 3.289
Pd 5.321 1.528 3.289
Pd 6.658 2.300 5.871
Pd 3.984 2.300 5.871
Pd 3.984 3.844 3.289
Pd 2.661 1.536 1.448
Pd 7.982 4.608 7.713
Pd 5.321 4.616 5.871
Li 0.000 0.000 0.000
Li 7.982 4.608 5.318
Li 2.661 1.536 3.843
Sn 5.321 3.072 1.136
Sn 5.321 3.072 8.025